# KRb2V | Alexandria via LeMat-Bulk | PBE | optimized geometry
# Fermi-level density of states   2.432 states/eV per atom
# Energy of formation   4.04 eV per formula unit
# Offset from the most stable computed form   102 meV per atom
# Uncorrected energy   -2.03 eV per atom
# Total magnetic moment   4.857 μB/f.u.
data_KRb2V
_chemical_formula_sum 'K4 Rb8 V4'
_cell_length_a 5.766
_cell_length_b 5.766
_cell_length_c 27.898
_cell_angle_alpha 90.00
_cell_angle_beta 90.00
_cell_angle_gamma 90.00
_symmetry_space_group_name_H-M 'I -4 2 d'
_symmetry_Int_Tables_number 122
_symmetry_space_group_name_Hall 'I -4 2bw'
loop_
_atom_site_label
_atom_site_type_symbol
_atom_site_fract_x
_atom_site_fract_y
_atom_site_fract_z
K1 K 0.000 0.000 0.000
Rb1 Rb 0.229 0.250 0.625
V1 V 0.000 0.000 0.500